Below is a relaxed LaUSe2O crystal, with properties calculated at the PBE level.

Unit cell a=4.099 b=4.099 c=14.294 alpha=90.00 beta=90.00 gamma=90.00
Last column: magnetic moment on the atom in μB.
Positions (direct):
Se 0.500 0.000 0.298  -0.06
La 0.000 0.500 0.414  -0.01
La 0.500 0.000 0.586  -0.01
U 0.000 0.500 0.891  2.58
O 0.500 0.500 0.500  -0.01
O 0.000 0.000 0.500  -0.01
Se 0.000 0.500 0.702  -0.06
U 0.500 0.000 0.109  2.58
Se 0.000 0.500 0.099  -0.07
Se 0.500 0.000 0.901  -0.07

* ρ: 7.62 Mg/m³
* symmetry: P4/nmm
* raw formation energy: -2109 meV/atom
* size of the total moment: 5.6 Bohr magnetons per cell